A relaxed K3H2Pt crystal, computed with PBE.

theoretical density: 2.7 Mg/m³
raw total energy: -2.912 eV/atom

Cell: 5.5210 17.8226 8.0040 Å, 90.00 90.00 90.00°
Space group Ibam (No. 72)
One atom of each set of equivalent atoms:
K: 0.0000 0.0000 0.2500 x4
K: 0.0000 0.3539 0.2500 x8
H: 0.2242 0.4366 0.0000 x8
Pt: 0.0000 0.5000 0.0000 x4


A relaxed NaDyNp2S4 crystal, computed with PBE.

theoretical density: 7.5 Mg/m³
ΔE_f (raw): -1522.3 meV per atom

Cell: 6.8206 3.9402 6.8435 Å, 90.00 109.41 90.00°
Space group P2/m (No. 10)
One atom of each set of equivalent atoms:
Na: 0.0000 0.0000 0.0000 x1
Dy: 0.0000 0.5000 0.5000 x1
Np: 0.5000 0.0000 0.5000 x1
Np: 0.5000 0.5000 0.0000 x1
S: 0.2505 0.0000 0.7480 x2
S: 0.2549 0.5000 0.2562 x2


A relaxed RbYPb crystal, computed with PBE.

theoretical density: 4.9 Mg/m³
DFT formation energy: -0.286 eV per atom

Cell: 5.5166 5.5166 8.4688 Å, 90.00 90.00 90.00°
Space group P4/nmm (No. 129, origin choice 2)
One atom of each set of equivalent atoms:
Rb: 0.2500 0.2500 0.1296 x2
Y: 0.2500 0.7500 0.5000 x2
Pb: 0.2500 0.2500 0.6789 x2


A relaxed Tl2CdIn2 crystal, computed with PBE.

theoretical density: 8.0 Mg/m³
DFT formation energy: 0.183 eV per atom

Cell: 4.6595 4.6595 14.3224 Å, 90.00 90.00 90.00°
Space group I4/mmm (No. 139)
One atom of each set of equivalent atoms:
Tl: 0.0000 0.5000 0.2500 x4
Cd: 0.0000 0.0000 0.0000 x2
In: 0.0000 0.0000 0.4001 x4


A relaxed ThGa2Ag crystal, computed with PBE.

theoretical density: 9.2 Mg/m³
DFT formation energy: -0.368 eV per atom

Cell: 4.4031 4.4031 15.5145 Å, 90.00 90.00 120.00°
Space group R-3m (No. 166, hexagonal axes)
One atom of each set of equivalent atoms:
Th: 0.0000 0.0000 0.0000 x3
Ga: 0.0000 0.0000 0.2194 x6
Ag: 0.0000 0.0000 0.5000 x3


A relaxed Pr3Er13 crystal, computed with PBE.

theoretical density: 8.4 Mg/m³
DFT formation energy: 0.013 eV per atom

Cell: 7.2562 11.2801 12.5332 Å, 90.00 90.00 90.00°
Space group Amm2 (No. 38)
One atom of each set of equivalent atoms:
Pr: 0.0000 0.0000 0.0000 x2
Pr: 0.2527 0.0000 0.7458 x4
Er: 0.0000 0.0000 0.4954 x2
Er: 0.0000 0.2482 0.1652 x4
Er: 0.2503 0.0000 0.2495 x4
Er: 0.2514 0.2464 0.4153 x8
Er: 0.5000 0.0000 0.0003 x2
Er: 0.5000 0.0000 0.4955 x2
Er: 0.5000 0.2454 0.1651 x4


A relaxed AcCuO2 crystal, computed with PBE.

theoretical density: 8.8 Mg/m³
ΔE_f (raw): -1234.3 meV per atom

Cell: 3.1843 3.1843 5.9876 Å, 90.00 90.00 90.00°
Space group P4/mmm (No. 123)
One atom of each set of equivalent atoms:
Ac: 0.0000 0.0000 0.0000 x1
Cu: 0.0000 0.0000 0.5000 x1
O: 0.5000 0.5000 0.2292 x2


A relaxed CrCuNi14 crystal, computed with PBE.

theoretical density: 8.9 Mg/m³
DFT formation energy: 0.019 eV per atom

Cell: 5.0015 5.0015 7.0238 Å, 90.00 90.00 90.00°
Space group P4/mmm (No. 123)
One atom of each set of equivalent atoms:
Cr: 0.0000 0.0000 0.0000 x1
Cu: 0.5000 0.5000 0.0000 x1
Ni: 0.0000 0.0000 0.5000 x1
Ni: 0.0000 0.5000 0.0000 x2
Ni: 0.0000 0.5000 0.5000 x2
Ni: 0.2484 0.2484 0.2511 x8
Ni: 0.5000 0.5000 0.5000 x1